La2ZnCu2, optimized geometry, DFT PBE; energy of formation = -31 kJ/mol of formula units; calculated density = 6.405 g/cm³; E = -3.93 eV per atom; space group = I4/mmm (139)
1.0
5.670 0.000 0.000
0.000 5.670 0.000
2.835 2.835 3.793
Zn Cu La
1 2 2
Direct
0.000 0.000 0.000
0.349 0.349 0.301
0.651 0.651 0.699
0.750 0.250 0.500
0.250 0.750 0.500



LaZn3Cu, optimized geometry, DFT PBE; energy of formation = -119 kJ/mol of formula units; calculated density = 6.907 g/cm³; E = -2.82 eV per atom; space group = P6_3/mmc (194)
1.0
-0.874 0.699 -5.239
-6.318 -0.690 0.962
2.684 5.831 0.331
La Zn Cu
2 6 2
Direct
0.750 0.667 0.333
0.250 0.333 0.667
0.750 0.621 0.810
0.250 0.810 0.621
0.250 0.379 0.190
0.750 0.190 0.379
0.250 0.810 0.190
0.750 0.190 0.810
0.000 0.000 0.000
0.500 0.000 0.000



LaZn2Cu2, optimized geometry, DFT PBE; energy of formation = -108 kJ/mol of formula units; calculated density = 6.921 g/cm³; E = -3.36 eV per atom; space group = P-1 (2)
1.0
5.355 0.012 -0.010
2.690 5.500 0.301
2.659 0.395 6.490
La Zn Cu
2 4 4
Direct
0.879 0.752 0.251
0.121 0.248 0.749
0.581 0.360 0.222
0.842 0.857 0.723
0.158 0.143 0.277
0.419 0.640 0.778
0.456 0.801 0.046
0.695 0.299 0.548
0.544 0.199 0.954
0.305 0.701 0.452



La7Zn2Cu2, optimized geometry, DFT PBE; energy of formation = -10 kJ/mol of formula units; calculated density = 6.198 g/cm³; E = -4.12 eV per atom; space group = Cmmm (65)
1.0
-2.682 -4.712 4.290
6.216 -0.011 3.874
-1.434 6.354 2.319
La Zn Cu
7 2 2
Direct
0.000 0.282 0.500
0.500 0.718 0.000
0.000 0.718 0.500
0.500 0.282 0.000
0.000 0.000 0.000
0.500 0.735 0.500
0.500 0.265 0.500
0.843 0.500 0.843
0.157 0.500 0.157
0.708 0.000 0.292
0.292 0.000 0.708